12
Lattice="7.147 0.000 0.000 0.000 7.119 0.000 -3.573 -3.559 8.156" Properties=species:S:1:pos:R:3 comment="Rb2TlHgAu2, relaxed, DFT GGA-PBE" sg="No. 72" ef_ev_per_fu=-1.31 pbc="T T T"
Rb 3.573 5.240 2.815
Rb 0.000 1.878 2.815
Rb 3.573 1.681 5.342
Rb 0.000 -1.681 5.342
Tl 1.787 0.000 0.000
Tl 5.360 0.000 0.000
Hg 5.360 3.559 0.000
Hg 1.787 3.559 0.000
Au 0.000 1.828 6.479
Au 3.573 1.731 1.678
Au 0.000 5.388 1.678
Au 3.573 -1.828 6.479

=====

12
Lattice="3.902 0.000 0.000 0.000 3.902 0.000 0.000 0.000 11.950" Properties=species:S:1:pos:R:3 comment="Sr2AcCu3O6, relaxed, DFT GGA-PBE" sg="No. 123" formation_energy_uncorrected_kj_per_mol_atoms=-178.0 pbc="T T T"
Sr 1.951 1.951 2.311
Sr 1.951 1.951 9.639
Ac 1.951 1.951 5.975
Cu 0.000 0.000 4.039
Cu 0.000 0.000 7.911
Cu 0.000 0.000 0.000
O 0.000 1.951 7.689
O 1.951 0.000 4.261
O 1.951 0.000 7.689
O 0.000 0.000 1.811
O 0.000 1.951 4.261
O 0.000 0.000 10.139

=====

12
Lattice="5.362 0.000 0.000 -2.681 4.643 0.000 0.000 0.000 7.654" Properties=species:S:1:pos:R:3 comment="AcNpP2O8, relaxed, DFT GGA-PBE" sg="No. 147" formation_energy_uncorrected_kj_per_mol_atoms=-263.9 pbc="T T T"
Ac 0.000 0.000 0.000
Np 0.000 0.000 3.827
P 2.681 1.548 1.608
P 0.000 3.095 6.046
O 0.000 3.095 7.582
O 1.402 0.835 2.134
O 3.937 0.797 2.134
O 2.681 1.548 0.072
O -1.256 3.847 5.520
O 1.279 3.808 5.520
O -0.022 1.632 5.520
O 2.703 3.011 2.134

=====

11
Lattice="8.283 0.000 0.000 -4.141 7.314 0.008 0.000 -4.180 7.357" Properties=species:S:1:pos:R:3 comment="Cs2SrAg2Br6, relaxed, DFT GGA-PBE" sg="No. 12" formation_energy_uncorrected_kj_per_mol_atoms=-129.8 pbc="T T T"
Cs 4.141 2.576 1.482
Cs 0.000 0.558 5.883
Sr 4.141 -2.090 3.678
Ag 4.141 3.144 5.842
Ag 0.000 -0.010 1.523
Br 4.141 0.792 4.693
Br -2.023 5.722 1.441
Br 2.118 -2.588 5.924
Br 6.165 -2.588 5.924
Br 2.023 5.722 1.441
Br 0.000 2.342 2.672

=====

18
Lattice="-5.053 -5.788 -0.314 7.302 -1.374 1.980 -1.290 0.837 5.338" Properties=species:S:1:pos:R:3 comment="As5Os4, relaxed, DFT GGA-PBE" sg="No. 193" ef_ev_per_fu=5.36 pbc="T T T"
As 4.735 -0.742 2.706
As 0.369 -1.992 1.847
As -3.822 -3.800 1.117
As 1.277 0.205 4.612
As 0.590 -4.333 5.158
As -2.521 -1.151 3.907
As -0.934 -4.317 0.451
As 2.539 -2.427 3.885
As 3.184 -2.845 1.216
As -1.580 -3.898 3.120
Os 0.000 0.000 0.000
Os -0.645 0.418 2.669
Os 2.126 -0.252 1.999
Os 1.172 -4.551 2.442
Os -2.017 -1.732 1.229
Os 3.885 -0.285 5.320
Os -0.213 -1.774 4.563
Os -4.326 -3.219 3.795

=====

8
Lattice="5.433 0.000 0.000 2.716 4.705 0.000 2.716 1.568 8.934" Properties=species:S:1:pos:R:3 comment="LaTb2ErTl4, relaxed, DFT GGA-PBE" sg="No. 166" ef_ev_per_fu=-2.82 pbc="T T T"
La 0.000 0.000 0.000
Tb 8.149 4.705 6.669
Tb 2.716 1.568 2.265
Er 5.433 3.137 4.467
Tl 5.433 3.137 7.742
Tl 8.149 4.705 3.414
Tl 2.716 1.568 5.520
Tl 5.433 3.137 1.193

=====

5
Lattice="4.535 0.000 0.000 0.000 4.535 0.000 2.267 2.267 3.813" Properties=species:S:1:pos:R:3 comment="TcNi2Se2, relaxed, DFT GGA-PBE" sg="No. 139" formation_energy_uncorrected_kj_per_mol_atoms=44.1 e_above_lowest_polymorph_ev_per_fu=0.950 pbc="T T T"
Ni 2.267 2.267 1.134
Ni 4.535 4.535 2.679
Tc 0.000 0.000 0.000
Se 4.535 2.267 1.906
Se 2.267 4.535 1.906

=====

4
Lattice="-3.037 -3.102 0.756 3.187 -2.984 0.560 0.138 1.090 5.028" Properties=species:S:1:pos:R:3 comment="BaSi2Se, relaxed, DFT GGA-PBE" sg="No. 123" formation_energy_uncorrected_kj_per_mol_atoms=3.1 e_above_lowest_polymorph_ev_per_fu=1.978 pbc="T T T"
Ba -1.450 -1.006 2.892
Se 1.663 -0.947 2.794
Si 0.000 0.000 0.000
Si 0.075 -3.043 0.658

=====

4
Lattice="-4.325 3.395 0.066 -4.762 -1.570 -2.257 -4.325 -1.119 3.206" Properties=species:S:1:pos:R:3 comment="NaAcYGa, relaxed, DFT GGA-PBE" sg="No. 216" ef_ev_per_fu=-0.41 pbc="T T T"
Y -3.353 0.176 0.254
Na -6.706 0.353 0.507
Ac -10.060 0.529 0.761
Ga 0.000 0.000 0.000

=====

5
Lattice="4.005 0.000 0.000 0.000 4.418 0.000 0.000 0.000 4.005" Properties=species:S:1:pos:R:3 comment="LiBeTcB2, relaxed, DFT GGA-PBE" sg="No. 123" ef_ev_per_fu=6.88 pbc="T T T"
Be 2.003 2.209 2.003
B 0.000 0.000 2.003
B 2.003 0.000 0.000
Tc 0.000 0.000 0.000
Li 0.000 2.209 0.000

=====

6
Lattice="-0.619 -1.843 -1.487 4.827 -0.251 0.270 0.904 -2.975 5.154" Properties=species:S:1:pos:R:3 comment="FeCo5, relaxed, DFT GGA-PBE" sg="No. 2" ef_ev_per_fu=0.26 pbc="T T T"
Co 0.867 -3.154 4.984
Co 0.515 -2.589 0.422
Co 1.799 -3.296 2.534
Co 2.179 -1.027 -0.508
Co 3.350 -1.595 1.572
Fe 4.522 -2.500 3.413

=====

10
Lattice="7.131 0.000 0.000 0.000 7.131 0.000 0.000 0.000 2.821" Properties=species:S:1:pos:R:3 comment="Mn2ZnGe2, relaxed, DFT GGA-PBE" sg="No. 127" e_above_lowest_polymorph_ev_per_fu=0.235 ef_ev_per_fu=0.51 pbc="T T T"
Ge 2.445 6.011 0.000
Ge 6.011 4.685 0.000
Ge 4.685 1.120 0.000
Ge 1.120 2.445 0.000
Mn 0.977 4.543 1.410
Mn 4.543 6.153 1.410
Mn 6.153 2.588 1.410
Mn 2.588 0.977 1.410
Zn 0.000 0.000 0.000
Zn 3.565 3.565 0.000

=====

5
Lattice="-2.278 -3.603 -1.819 3.662 -0.754 -3.092 2.014 -2.824 3.073" Properties=species:S:1:pos:R:3 comment="MgV2GaTc, relaxed, DFT GGA-PBE" sg="No. 123" ef_ev_per_fu=3.54 pbc="T T T"
Mg 1.699 -3.591 -0.919
Tc 0.000 0.000 0.000
Ga 1.831 -0.377 -1.546
V 1.007 -1.412 1.537
V -1.139 -1.801 -0.909

=====

3
Lattice="-0.393 0.142 -5.660 2.892 -3.244 -3.649 -3.112 -0.208 4.741" Properties=species:S:1:pos:R:3 comment="TlMoPb, relaxed, DFT GGA-PBE" sg="No. 107" e_above_lowest_polymorph_ev_per_fu=0.185 ef_ev_per_fu=2.28 pbc="T T T"
Mo 2.486 -3.086 -9.258
Pb 0.875 -1.087 -3.260
Tl 1.638 -2.033 -6.100

=====

4
Lattice="3.325 0.000 0.000 1.663 2.880 0.000 1.663 0.960 9.242" Properties=species:S:1:pos:R:3 comment="LaZr2C, relaxed, DFT GGA-PBE" sg="No. 166" ef_ev_per_fu=-1.20 pbc="T T T"
C 3.325 1.920 4.621
Zr 1.663 0.960 5.877
Zr 4.988 2.880 3.365
La 0.000 0.000 0.000

=====

16
Lattice="-2.283 1.830 -1.341 1.204 -2.355 -5.262 -8.038 -8.566 1.994" Properties=species:S:1:pos:R:3 comment="CaTcN2, relaxed, DFT GGA-PBE" sg="No. 62" formation_energy_uncorrected_kj_per_mol_atoms=-54.9 e_above_lowest_polymorph_ev_per_fu=0.000 pbc="T T T"
Ca -2.933 -0.261 -1.156
Ca -6.183 -8.830 -3.453
Ca -3.688 -2.885 -3.450
Ca -5.428 -6.207 -1.159
Tc -0.298 -1.521 -3.499
Tc -3.962 -3.607 -0.109
Tc -8.818 -7.570 -1.110
Tc -5.154 -5.484 -4.500
N -5.780 -3.776 -1.106
N -3.336 -5.315 -3.503
N -8.560 -8.558 -2.898
N -0.556 -0.533 -1.711
N -7.894 -6.092 -0.667
N -2.712 -2.768 -1.091
N -6.404 -6.323 -3.518
N -1.222 -2.999 -3.942

=====

4
Lattice="-2.803 -2.058 -0.148 -0.441 -2.513 2.367 -4.165 2.418 4.349" Properties=species:S:1:pos:R:3 comment="Zr2AsN, relaxed, DFT GGA-PBE" sg="No. 166" formation_energy_uncorrected_kj_per_mol_atoms=-123.2 e_above_lowest_polymorph_ev_per_fu=0.000 pbc="T T T"
As 0.000 0.000 0.000
Zr -2.033 -0.308 1.853
Zr -5.376 -1.846 4.715
N -3.704 -1.077 3.284

=====

4
Lattice="3.745 0.000 0.000 1.872 3.243 0.000 1.872 1.081 7.035" Properties=species:S:1:pos:R:3 comment="Ce2CO, relaxed, DFT GGA-PBE" sg="No. 166" formation_energy_uncorrected_kj_per_mol_atoms=-110.7 e_above_lowest_polymorph_ev_per_fu=1.736 pbc="T T T"
C 3.745 2.162 3.517
O 0.000 0.000 0.000
Ce 1.872 1.081 4.929
Ce 5.617 3.243 2.105

=====

4
Lattice="4.328 0.000 0.000 2.164 3.748 0.000 2.164 1.249 7.214" Properties=species:S:1:pos:R:3 comment="NdHoBiAs, relaxed, DFT GGA-PBE" sg="No. 160" ef_ev_per_fu=-4.71 pbc="T T T"
Nd 6.491 3.748 0.167
Ho 4.328 2.499 3.440
Bi 6.491 3.748 5.338
As 2.164 1.249 1.876

=====

10
Lattice="9.322 0.000 0.000 0.000 9.322 0.000 0.000 0.000 8.142" Properties=species:S:1:pos:R:3 comment="Cs2Rb2Se, relaxed, DFT GGA-PBE" sg="No. 127" formation_energy_uncorrected_kj_per_mol_atoms=-39.7 e_above_lowest_polymorph_ev_per_fu=0.000 pbc="T T T"
Cs 3.110 7.771 0.000
Cs 7.771 6.211 0.000
Cs 6.211 1.550 0.000
Cs 1.550 3.110 0.000
Se 0.000 0.000 0.000
Se 4.661 4.661 0.000
Rb 1.726 6.387 4.071
Rb 6.387 7.595 4.071
Rb 7.595 2.935 4.071
Rb 2.935 1.726 4.071